Entry 1:
This record from Alexandria describes crystalline Ba3NaOs2O9 at its relaxed geometry. The functional is GGA-PBEsol.

POSCAR file:
```
Ba3NaOs2O9
1.0
5.883 0.000 0.000
-2.941 5.095 0.000
0.000 0.000 14.291
Ba Na Os O
6 2 4 18
Direct
0.000 0.000 0.250
0.000 0.000 0.750
0.333 0.667 0.089
0.333 0.667 0.411
0.667 0.333 0.589
0.667 0.333 0.911
0.000 0.000 0.000
0.000 0.000 0.500
0.333 0.667 0.662
0.333 0.667 0.838
0.667 0.333 0.162
0.667 0.333 0.338
0.014 0.507 0.750
0.179 0.358 0.591
0.179 0.358 0.909
0.179 0.821 0.591
0.179 0.821 0.909
0.358 0.179 0.091
0.358 0.179 0.409
0.493 0.507 0.750
0.493 0.986 0.750
0.507 0.014 0.250
0.507 0.493 0.250
0.642 0.821 0.591
0.642 0.821 0.909
0.821 0.179 0.091
0.821 0.179 0.409
0.821 0.642 0.091
0.821 0.642 0.409
0.986 0.493 0.250
```

## Properties
Its total energy is -217.00 eV per cell. The calculation puts the formation energy (no corrections) at -1.93 eV per atom. As for the space group: P6_3/mmc (194). As for the crystal system: hexagonal. For the density of states at the Fermi level, the calculation gives 0.420 states/eV per atom.

***

Entry 2:
This record from Alexandria describes crystalline BaNa2OsO at its relaxed geometry. The functional is GGA-PBEsol.

POSCAR file:
```
BaNa2OsO
1.0
5.245 0.000 0.000
0.000 5.245 0.000
0.000 0.000 3.841
Ba Na Os O
1 2 1 1
Direct
0.000 0.000 0.000
0.000 0.500 0.500
0.500 0.000 0.500
0.500 0.500 0.000
0.500 0.500 0.500
```

## Properties
Its total energy is -21.99 eV per cell. The calculation puts the formation energy (no corrections) at 0.08 eV per atom. As for the space group: P4/mmm (123). As for the crystal system: tetragonal. For the density of states at the Fermi level, the calculation gives 0.751 states/eV per atom.